1) A geometry-optimized YAgBr2 structure. Source: the Alexandria database, functional PBE.

Output
D(E_F) ... 0.03 states/eV per cell

Cell: 9.2704 9.2704 9.2704 Å, 24.86 24.86 24.86°
Sites, in units of the cell vectors:
Ag 0.5000 0.5000 0.5000
Br 0.1034 0.1034 0.1034
Br 0.8966 0.8966 0.8966
Y 0.0000 0.0000 0.0000



2) A geometry-optimized YAgBr2 structure. Source: the Alexandria database, functional PBE.

Output
D(E_F) ... 1.32 states/eV per cell

Cell: 5.4099 5.4099 5.4099 Å, 127.70 127.70 77.11°
Sites, in units of the cell vectors:
Br 0.5000 0.5000 0.0000
Br 0.0000 0.0000 0.0000
Ag 0.7500 0.2500 0.5000
Y 0.2500 0.7500 0.5000



3) A geometry-optimized YAgBr2 structure. Source: the Alexandria database, functional PBE.

Output
D(E_F) ... 0.29 states/eV per cell

Cell: 3.7901 4.0684 8.6385 Å, 76.77 90.00 90.00°
Sites, in units of the cell vectors:
Y 0.0000 0.2811 0.5616
Ag 0.5000 0.6990 0.7302
Br 0.0000 0.1202 0.8928
Br 0.5000 0.3998 0.3154



4) A geometry-optimized YAgBr2 structure. Source: the Alexandria database, functional PBE.

Output
D(E_F) ... 2.33 states/eV per cell

Cell: 5.9107 6.1043 3.7175 Å, 92.23 70.45 121.91°
Sites, in units of the cell vectors:
Ag 0.5000 0.0000 0.5000
Br 0.0000 0.0000 0.0000
Br 0.0000 0.5000 0.5000
Y 0.5000 0.5000 0.0000



Pick 3): it beats the second-best structure by 0.288 eV/atom.



1) A geometry-optimized YAgBr2 structure. Source: the Alexandria database, functional PBE.

Cell: 8.7613 8.7613 8.7613 Å, 27.33 27.33 27.33°
Sites, in units of the cell vectors:
Br 0.2253 0.2253 0.2253
Br 0.0301 0.0301 0.0301
Y 0.4897 0.4897 0.4897
Ag 0.7549 0.7549 0.7549



2) A geometry-optimized YAgBr2 structure. Source: the Alexandria database, functional PBE.

Output
D(E_F) ... 0.00 states/eV per cell

Cell: 9.9137 9.9137 7.6180 Å, 49.41 49.41 90.00°
Sites, in units of the cell vectors:
Br 0.8750 0.7374 0.7500
Br 0.4874 0.1250 0.2500
Br 0.3750 0.5126 0.7500
Br 0.2626 0.6250 0.2500
Y 0.2500 0.7500 0.5000
Y 0.5000 0.5000 0.0000
Ag 0.0000 0.0000 0.0000
Ag 0.7500 0.2500 0.5000



Pick 1): it beats the second-best structure by 0.086 eV/atom.